This record from the Open Quantum Materials Database describes a relaxed structure of LaGd2Mg3Ag3. The functional is GGA-PBE.

Computed properties:
- Uncorrected energy: -3.316 eV per atom
- SG: Pm (6)
- Mass density: 6.3 g/cm³

Geometry as POSCAR:
```
LaGd2Mg3Ag3
1.0
-6.284 4.499 -0.720
-0.078 -0.781 -4.205
-7.870 -10.687 2.131
Mg La Ag Gd
6 2 6 4
direct
0.119 0.500 0.883
0.622 0.500 0.622
0.262 0.500 0.495
0.121 0.500 0.121
0.619 0.500 0.374
0.757 0.500 0.002
0.294 0.000 0.710
0.917 0.000 0.497
0.002 0.500 0.326
0.000 0.000 0.001
0.498 0.000 0.496
0.994 0.500 0.672
0.506 0.500 0.840
0.499 0.500 0.166
0.791 0.000 0.796
0.295 0.000 0.289
0.414 0.000 0.003
0.791 0.000 0.205
```

This record from the Open Quantum Materials Database describes a relaxed structure of NaNbSeO. The functional is GGA-PBE.

Computed properties:
- SG: Pmc2_1 (26)
- Mass density: 4.8 g/cm³
- Polymorph energy (0 for the lowest one): 44.9 meV/atom

Geometry as POSCAR:
```
NaNbSeO
1.0
3.454 0.000 0.000
0.000 7.259 0.000
0.000 0.000 5.879
O Nb Se Na
2 2 2 2
direct
0.500 0.803 0.691
0.500 0.197 0.191
0.500 0.002 0.443
0.500 0.998 0.943
0.000 0.214 0.690
0.000 0.786 0.190
0.000 0.615 0.667
0.000 0.385 0.167
```